(1)
Ca2Ga3PbAu4 | PBE-GGA | relaxed

a b c (Å): 4.4924 4.4924 11.1811
angles (deg): 90.00 90.00 90.00
With the nearest neighbours (Å) after each atom.
Atoms (fractional coordinates):
1 Ca 0.5000 0.0000 0.2315  8 Au 3.41-3.43, 6 Ga 3.42-3.75, 2 Pb 3.75
2 Ca 0.0000 0.5000 0.7685  8 Au 3.41-3.43, 6 Ga 3.42-3.75, 2 Pb 3.75
3 Ga 0.0000 0.0000 0.5000  4 Au 2.86, 4 Pb 3.18
4 Ga 0.5000 0.0000 0.8814  5 Au 2.49-2.61
5 Ga 0.0000 0.5000 0.1186  5 Au 2.49-2.61
6 Pb 0.5000 0.5000 0.5000  4 Au 2.86, 4 Ga 3.18
7 Au 0.5000 0.5000 0.0000  4 Ga 2.61
8 Au 0.0000 0.0000 0.0000  4 Ga 2.61
9 Au 0.5000 0.0000 0.6585  1 Ga 2.49
10 Au 0.0000 0.5000 0.3415  1 Ga 2.49

E	-34.7	eV per cell
spin magnetization	0.0	μB per cell
ΔH_f (0 K)	-0.484	eV per atom



(2)
MnCr2Cl | PBE-GGA | relaxed

a b c (Å): 2.7487 2.7487 6.3247
angles (deg): 90.00 90.00 90.00
With the nearest neighbours (Å) after each atom.
Atoms (fractional coordinates):
1 Cr 0.0000 0.0000 0.0117  4 Mn 2.46, 4 Cl 2.55, 4 Cr 2.75
2 Cr 0.0000 0.0000 0.4883  4 Mn 2.46, 4 Cl 2.55, 4 Cr 2.75
3 Mn 0.5000 0.5000 0.2500  8 Cr 2.46, 4 Mn 2.75
4 Cl 0.5000 0.5000 0.7500  8 Cr 2.55, 4 Cl 2.75

distance to the lowest polymorph of the same formula	283.5	meV per atom
E	-28.7	eV per cell
spin magnetization	0.0	μB per cell
formation energy without anion corrections	37	kJ per mole of atoms



(3)
TiVCo4 | PBE-GGA | relaxed

a b c (Å): 3.8286 3.8328 5.5375
angles (deg): 89.96 89.98 90.00
With the nearest neighbours (Å) after each atom.
Atoms (fractional coordinates):
1 Ti 0.5014 0.4971 0.9981  8 Co 2.40
2 V 0.0012 0.9976 0.4982  8 Co 2.33
3 Co 0.5013 0.9970 0.2592  2 V 2.33, 2 Ti 2.40
4 Co 0.5012 0.9973 0.7371  2 V 2.33, 2 Ti 2.40
5 Co 0.0015 0.4972 0.7367  2 V 2.33, 2 Ti 2.40
6 Co 0.0013 0.4975 0.2596  2 V 2.33, 2 Ti 2.40

distance to the lowest polymorph of the same formula	499.3	meV per atom
E	-43.4	eV per cell
spin magnetization	0.0	μB per cell
ΔH_f (0 K)	0.346	eV per atom



(4)
RuAu3 | PBE-GGA | relaxed

a b c (Å): 5.8487 5.8487 4.6811
angles (deg): 90.00 90.00 120.00
With the nearest neighbours (Å) after each atom.
Atoms (fractional coordinates):
1 Ru 0.3333 0.6667 0.2500  12 Au 2.87-2.92
2 Ru 0.6667 0.3333 0.7500  12 Au 2.87-2.92
3 Au 0.8308 0.1692 0.2500  4 Ru 2.87-2.92, 8 Au 2.88-2.97
4 Au 0.1692 0.8308 0.7500  4 Ru 2.87-2.92, 8 Au 2.88-2.97
5 Au 0.8308 0.6615 0.2500  4 Ru 2.87-2.92, 8 Au 2.88-2.97
6 Au 0.1692 0.3385 0.7500  4 Ru 2.87-2.92, 8 Au 2.88-2.97
7 Au 0.3385 0.1692 0.2500  4 Ru 2.87-2.92, 8 Au 2.88-2.97
8 Au 0.6615 0.8308 0.7500  4 Ru 2.87-2.92, 8 Au 2.88-2.97

E	-35.1	eV per cell
spin magnetization	3.9	μB per cell
ΔH_f (0 K)	0.392	eV per atom



(5)
Nd2TlBi | PBE-GGA | relaxed

a b c (Å): 4.3326 4.3326 8.8877
angles (deg): 75.89 75.89 60.00
With the nearest neighbours (Å) after each atom.
Atoms (fractional coordinates):
1 Nd 0.0774 0.0774 0.7677  3 Bi 3.17, 3 Tl 3.38
2 Nd 0.2555 0.2555 0.2334  3 Bi 3.21, 3 Tl 3.39
3 Tl 0.4994 0.4994 0.5019  6 Nd 3.38-3.39
4 Bi 0.6677 0.6677 0.9970  6 Nd 3.17-3.21

distance to the lowest polymorph of the same formula	156.9	meV per atom
E	-17.7	eV per cell
spin magnetization	0.0	μB per cell
ΔH_f (0 K)	-0.482	eV per atom



(6)
Cs4S | PBE-GGA | relaxed

a b c (Å): 10.6571 9.3265 13.9303
angles (deg): 103.69 67.51 55.16
With the nearest neighbours (Å) after each atom.
Atoms (fractional coordinates):
1 Cs 0.7876 0.4999 0.0000  2 S 3.43
2 Cs 0.5293 0.1892 0.2527  1 S 3.34
3 Cs 0.2876 0.0001 0.5000  2 S 3.43
4 Cs 0.4707 0.8108 0.7473  1 S 3.34
5 Cs 0.9712 0.3108 0.2473  1 S 3.34
6 Cs 0.7124 0.9999 0.5000  2 S 3.43
7 Cs 0.0288 0.6892 0.7527  1 S 3.34
8 Cs 0.2124 0.5001 0.0000  2 S 3.43
9 S 0.2500 0.2500 0.7500  6 Cs 3.34-3.43
10 S 0.7500 0.7500 0.2500  6 Cs 3.34-3.43

distance to the lowest polymorph of the same formula	0.0	meV per atom
E	-20.9	eV per cell
spin magnetization	0.0	μB per cell
formation energy without anion corrections	-56	kJ per mole of atoms



(7)
MnTeS3 | PBE-GGA | relaxed

a b c (Å): 4.4704 4.4704 4.4704
angles (deg): 90.00 90.00 90.00
With the nearest neighbours (Å) after each atom.
Atoms (fractional coordinates):
1 S 0.0000 0.5000 0.0000  2 Mn 2.24
2 S 0.0000 0.0000 0.5000  2 Mn 2.24
3 S 0.5000 0.0000 0.0000  2 Mn 2.24
4 Te 0.5000 0.5000 0.5000  12 S 3.16
5 Mn 0.0000 0.0000 0.0000  6 S 2.24

distance to the lowest polymorph of the same formula	0.0	meV per atom
E	-23.3	eV per cell
spin magnetization	0.0	μB per cell
formation energy without anion corrections	26	kJ per mole of atoms



(8)
RbSc2Ge2 | PBE-GGA | relaxed

a b c (Å): 4.8723 4.8723 6.9709
angles (deg): 69.55 69.55 90.00
With the nearest neighbours (Å) after each atom.
Atoms (fractional coordinates):
1 Sc 0.7500 0.2500 0.5000  4 Ge 2.79
2 Sc 0.2500 0.7500 0.5000  4 Ge 2.79
3 Ge 0.3616 0.3616 0.2769  4 Sc 2.79
4 Ge 0.6384 0.6384 0.7231  4 Sc 2.79
5 Rb 0.0000 0.0000 0.0000  8 Ge 3.83, 8 Sc 3.89

distance to the lowest polymorph of the same formula	82.0	meV per atom
E	-24.2	eV per cell
spin magnetization	0.0	μB per cell
ΔH_f (0 K)	-0.264	eV per atom



The highest spin magnetization belongs to which entry?
RuAu3



Which value of spin magnetization does entry 6 give?
0.0 μB per cell



The highest E belongs to which entry?
Nd2TlBi